1.
The following is a GGA-PBE calculation of a relaxed AlP2PdS crystal, from the Alexandria database.

M_tot (μB per formula unit): 0.00
Raw formation energy (meV per atom): 634

Unit cell a=4.597 b=4.597 c=4.518 alpha=90.00 beta=90.00 gamma=90.00
Sites, in units of the cell vectors:
1 P 0.000 0.500 0.000
2 P 0.500 0.000 0.000
3 S 0.000 0.000 0.500
4 Al 0.000 0.000 0.000
5 Pd 0.500 0.500 0.500

2.
The following is a GGA-PBE calculation of a relaxed AlSb2PPd crystal, from the Alexandria database.

M_tot (μB per formula unit): 0.00
Raw formation energy (meV per atom): 556

Unit cell a=5.145 b=4.566 c=5.145 alpha=90.00 beta=90.00 gamma=90.00
Sites, in units of the cell vectors:
1 Sb 0.000 0.000 0.500
2 Sb 0.500 0.000 0.000
3 Al 0.000 0.500 0.000
4 Pd 0.500 0.500 0.500
5 P 0.000 0.000 0.000

3.
The following is a GGA-PBE calculation of a relaxed AlPPdSe2 crystal, from the Alexandria database.

M_tot (μB per formula unit): 0.00
Raw formation energy (meV per atom): 628

Unit cell a=4.829 b=4.689 c=4.829 alpha=90.00 beta=90.00 gamma=90.00
Sites, in units of the cell vectors:
1 P 0.500 0.500 0.500
2 Se 0.000 0.000 0.500
3 Se 0.500 0.000 0.000
4 Pd 0.000 0.500 0.000
5 Al 0.000 0.000 0.000

4.
The following is a GGA-PBE calculation of a relaxed Sr2AlPPd6 crystal, from the Alexandria database.

Formation enthalpy at 0 K (eV per atom): -0.724
M_tot (μB per formula unit): 0.00

Unit cell a=6.465 b=6.861 c=6.455 alpha=62.20 beta=59.68 gamma=89.96
Sites, in units of the cell vectors:
1 Sr 0.722 0.166 0.557
2 Sr 0.278 0.834 0.443
3 Al 0.000 0.000 0.000
4 P 0.500 0.500 0.000
5 Pd 0.255 0.333 0.492
6 Pd 0.746 0.666 0.080
7 Pd 0.174 0.666 0.079
8 Pd 0.826 0.334 0.921
9 Pd 0.254 0.334 0.920
10 Pd 0.745 0.667 0.508